# La2TlIrW | Alexandria via LeMat-Bulk | GGA-PBE | optimized geometry
# D(E_F)   1.0550 states/eV/atom
# VASP energy   -0.2366 Ha/atom
data_La2TlIrW
_chemical_formula_sum 'La2 Tl1 Ir1 W1'
_cell_length_a 5.6080
_cell_length_b 4.7934
_cell_length_c 5.6080
_cell_angle_alpha 90.00
_cell_angle_beta 90.00
_cell_angle_gamma 90.00
_symmetry_space_group_name_H-M 'P 1'
_symmetry_Int_Tables_number 1
loop_
_symmetry_equiv_pos_as_xyz
'x,y,z'
loop_
_atom_site_label
_atom_site_fract_x
_atom_site_fract_y
_atom_site_fract_z
W1 0.0000 0.0000 0.0000
Tl1 0.5000 0.5000 0.5000
Ir1 0.0000 0.5000 0.0000
La1 0.5000 0.0000 0.0000
La2 0.0000 0.0000 0.5000